Material: MnPSe3
Method: DFT, PBE
State: relaxed

abc: 4.6363 4.6363 4.6363
angles: 90.00 90.00 90.00
Last column: nearest neighbours and their distance in Å.
Fractional positions:
P1 0.5000 0.5000 0.5000  12 Se 3.28
Mn1 0.0000 0.0000 0.0000  6 Se 2.32
Se1 0.0000 0.5000 0.0000  2 Mn 2.32
Se2 0.0000 0.0000 0.5000  2 Mn 2.32
Se3 0.5000 0.0000 0.0000  2 Mn 2.32

Magnetic moment (μB/f.u.): 0.006
Raw total energy (eV per atom): -4.352
Space-group type: Pm-3m, No. 221
Uncorrected formation energy (kcal/mol of atoms): 15.10


Material: MnPSe
Method: DFT, PBE
State: relaxed

abc: 3.3643 3.3643 5.2478
angles: 90.00 90.00 120.00
Last column: nearest neighbours and their distance in Å.
Fractional positions:
Mn1 0.0000 0.0000 0.0169  3 P 2.32, 3 Se 2.48
P1 0.3333 0.6667 0.2590  3 Mn 2.32
Se1 0.6667 0.3333 0.7241  3 Mn 2.48

Magnetic moment (μB/f.u.): 2.255
Raw total energy (eV per atom): -6.183
Space-group type: P3m1, No. 156
Uncorrected formation energy (kcal/mol of atoms): -3.73